Arrangement 1

CdTeBr2, relaxed, DFT GGA-PBE; size of the total moment = 0.4 μB per formula unit
1.0
3.742 0.000 0.000
-1.871 3.241 0.000
0.000 0.000 37.108
Cd Te Br
3 3 6
Cartesian
0.000 0.000 0.000
0.000 2.161 24.739
1.871 1.080 12.369
0.000 0.000 18.554
0.000 2.161 6.185
1.871 1.080 30.924
0.000 0.000 14.102
0.000 0.000 23.007
0.000 2.161 1.732
0.000 2.161 10.637
1.871 1.080 26.471
1.871 1.080 35.376

=====

Arrangement 2

CdTeBr2, relaxed, DFT GGA-PBE; size of the total moment = 0.0 μB per formula unit
1.0
5.563 0.000 0.000
0.000 5.563 0.000
0.000 0.000 3.512
Cd Te Br
1 1 2
Cartesian
0.000 0.000 0.000
2.782 2.782 0.000
0.000 2.782 1.756
2.782 0.000 1.756

=====

Arrangement 3

CdTeBr2, relaxed, DFT GGA-PBE; size of the total moment = 0.0 μB per formula unit
1.0
5.251 0.000 0.000
0.000 4.801 0.000
-2.461 0.000 5.925
Cd Te Br
1 1 2
Cartesian
0.000 0.000 0.000
0.149 2.401 1.569
0.209 0.000 4.866
2.912 2.401 2.353

=====

arrangement 3 is the most stable structure; the next one sits 81 meV/atom above it.

=====

Arrangement 1

Cd2TeBr, relaxed, DFT GGA-PBE; size of the total moment = 0.0 μB per formula unit
1.0
4.351 0.000 0.000
0.000 4.351 0.000
0.000 0.000 6.068
Cd Te Br
2 1 1
Cartesian
0.000 0.000 0.000
2.175 2.175 3.034
0.000 0.000 3.034
2.175 2.175 0.000

=====

Arrangement 2

Cd2TeBr, relaxed, DFT GGA-PBE; size of the total moment = 0.0 μB per formula unit
1.0
3.368 0.000 0.000
0.000 3.368 0.000
0.000 0.000 9.967
Cd Te Br
2 1 1
Cartesian
0.000 0.000 0.000
1.684 1.684 2.142
0.000 0.000 4.598
1.684 1.684 8.229

=====

arrangement 1 is the most stable structure; the next one sits 305 meV/atom above it.